# 1
Here is LaMn2Nb after structural relaxation from Alexandria via LeMat-Bulk. Energies are from PBE.

## Properties
Energy of formation from the pure elements = 3.1 eV/f.u.
M_tot = 0.00 μB per formula unit
Excess energy over the best structure of this formula in the dataset = 253 meV/atom
Total energy = -120.99 eV per cell

Unit cell a=4.6407 b=4.6407 c=16.4963 alpha=90.00 beta=90.00 gamma=90.00
Last column: nearest neighbours and their distance in Å.
Positions (direct):
La  0.0000  0.2500  0.3750  4 Nb 3.28, 8 Mn 3.31
La  0.0000  0.7500  0.6250  4 Nb 3.28, 8 Mn 3.31
La  0.5000  0.2500  0.1250  4 Nb 3.28, 8 Mn 3.31
La  0.5000  0.7500  0.8750  4 Nb 3.28, 8 Mn 3.31
Mn  0.0000  0.0000  0.0000  2 Mn 2.32, 2 Nb 2.37
Mn  0.0000  0.5000  0.0000  2 Mn 2.32, 2 Nb 2.37
Mn  0.2500  0.2500  0.7500  2 Mn 2.32, 2 Nb 2.37
Mn  0.2500  0.7500  0.2500  2 Mn 2.32, 2 Nb 2.37
Mn  0.5000  0.0000  0.5000  2 Mn 2.32, 2 Nb 2.37
Mn  0.5000  0.5000  0.5000  2 Mn 2.32, 2 Nb 2.37
Mn  0.7500  0.2500  0.7500  2 Mn 2.32, 2 Nb 2.37
Mn  0.7500  0.7500  0.2500  2 Mn 2.32, 2 Nb 2.37
Nb  0.0000  0.2500  0.8750  4 Mn 2.37
Nb  0.0000  0.7500  0.1250  4 Mn 2.37
Nb  0.5000  0.2500  0.6250  4 Mn 2.37
Nb  0.5000  0.7500  0.3750  4 Mn 2.37

# 2
Here is LaMnNb2 after structural relaxation from Alexandria via LeMat-Bulk. Energies are from PBE.

## Properties
Energy of formation from the pure elements = 3.9 eV/f.u.
M_tot = 1.43 μB per formula unit
Excess energy over the best structure of this formula in the dataset = 480 meV/atom
Total energy = -121.18 eV per cell

Unit cell a=4.9637 b=4.9637 c=17.4573 alpha=90.00 beta=90.00 gamma=90.00
Last column: nearest neighbours and their distance in Å.
Positions (direct):
La  0.0000  0.2500  0.3750  4 Mn 3.51, 8 Nb 3.53
La  0.0000  0.7500  0.6250  4 Mn 3.51, 8 Nb 3.53
La  0.5000  0.2500  0.1250  4 Mn 3.51, 8 Nb 3.53
La  0.5000  0.7500  0.8750  4 Mn 3.51, 8 Nb 3.53
Mn  0.0000  0.2500  0.8750  4 Nb 2.51
Mn  0.0000  0.7500  0.1250  4 Nb 2.51
Mn  0.5000  0.2500  0.6250  4 Nb 2.51
Mn  0.5000  0.7500  0.3750  4 Nb 2.51
Nb  0.0000  0.0000  0.0000  2 Nb 2.48, 2 Mn 2.51
Nb  0.0000  0.5000  0.0000  2 Nb 2.48, 2 Mn 2.51
Nb  0.2500  0.2500  0.7500  2 Nb 2.48, 2 Mn 2.51
Nb  0.2500  0.7500  0.2500  2 Nb 2.48, 2 Mn 2.51
Nb  0.5000  0.0000  0.5000  2 Nb 2.48, 2 Mn 2.51
Nb  0.5000  0.5000  0.5000  2 Nb 2.48, 2 Mn 2.51
Nb  0.7500  0.2500  0.7500  2 Nb 2.48, 2 Mn 2.51
Nb  0.7500  0.7500  0.2500  2 Nb 2.48, 2 Mn 2.51

# 3
Here is La2MnNbPt after structural relaxation from Alexandria via LeMat-Bulk. Energies are from PBE.

## Properties
Energy of formation from the pure elements = 2.8 eV/f.u.
M_tot = 3.28 μB per formula unit
Total energy = -32.37 eV per cell

Unit cell a=5.2184 b=5.2184 c=4.6459 alpha=90.00 beta=90.00 gamma=90.00
Last column: nearest neighbours and their distance in Å.
Positions (direct):
La  0.0000  0.5000  0.0000  2 Mn 2.61
La  0.5000  0.0000  0.0000  2 Mn 2.61
Mn  0.0000  0.0000  0.0000  2 Pt 2.32
Nb  0.5000  0.5000  0.5000  8 La 3.49, 4 Pt 3.69
Pt  0.0000  0.0000  0.5000  2 Mn 2.32